# PmAl3 | OQMD via LeMat-Bulk | GGA-PBE | relaxed
data_PmAl3
_cell_length_a 4.908
_cell_length_b 4.908
_cell_length_c 4.908
_cell_angle_alpha 60.00
_cell_angle_beta 60.00
_cell_angle_gamma 60.00
_space_group_name_H-M_alt 'P 1'
_space_group_IT_number 1
_space_group_name_Hall 'P 1'
loop_
_atom_site_label
_atom_site_type_symbol
_atom_site_fract_x
_atom_site_fract_y
_atom_site_fract_z
Al1 Al 0.500 0.500 0.500
Pm1 Pm 0.750 0.750 0.750
Al2 Al 0.000 0.000 0.000
Al3 Al 0.250 0.250 0.250
# Volume: 84 Å³/cell
# Density: 4.49 g cm⁻³
# Polymorph energy (0 for the lowest one): 383 meV/atom
# Total moment: 0.0 μB/f.u.